# 1
First-principles (PBE) data for a geometry-optimized Li2PuGeN structure, as listed in Alexandria.

The structure in CIF format:
```
data_Li2PuGeN
_symmetry_space_group_name_H-M 'I 4/m c m'
_symmetry_Int_Tables_number 140
_symmetry_space_group_name_Hall '-I 4 2c'
_cell_length_a 5.986
_cell_length_b 5.986
_cell_length_c 8.742
_cell_angle_alpha 90.00
_cell_angle_beta 90.00
_cell_angle_gamma 90.00
loop_
_atom_site_label
_atom_site_type_symbol
_atom_site_fract_x
_atom_site_fract_y
_atom_site_fract_z
Li1 Li 0.214 0.286 0.000
Pu1 Pu 0.000 0.000 0.250
Ge1 Ge 0.000 0.500 0.250
N1 N 0.000 0.000 0.000
```

Results
VASP energy = -6.746 eV/atom
ΔE_f (raw) = -526 meV per atom

# 2
First-principles (PBE) data for a geometry-optimized Li2ReGeN4 structure, as listed in Alexandria.

The structure in CIF format:
```
data_Li2ReGeN4
_symmetry_space_group_name_H-M 'P m n 21'
_symmetry_Int_Tables_number 31
_cell_length_a 6.357
_cell_length_b 5.832
_cell_length_c 5.267
_cell_angle_alpha 90.00
_cell_angle_beta 90.00
_cell_angle_gamma 90.00
loop_
_symmetry_equiv_pos_as_xyz
'x,y,z'
'-x+1/2,-y,z+1/2'
'-x,y,z'
'x+1/2,-y,z+1/2'
loop_
_atom_site_label
_atom_site_type_symbol
_atom_site_fract_x
_atom_site_fract_y
_atom_site_fract_z
Li1 Li 0.250 0.159 0.000
Re1 Re 0.000 0.337 0.508
Ge1 Ge 0.000 0.652 0.003
N1 N 0.000 0.351 0.862
N2 N 0.000 0.628 0.368
N3 N 0.249 0.188 0.409
```

Results
VASP energy = -7.046 eV/atom
ΔE_f (raw) = -272 meV per atom

- ΔE_f (raw) of number 2 (Li2ReGeN4)?
  -272 meV per atom